CsGaHg2Pt: optimized geometry, GGA-PBE.

Lattice parameters (Å, degrees): 5.4938 5.4938 4.8991 90.00 90.00 90.00
Closest atoms and distances in Å follow each position.
Space group P4/mmm (No. 123)
Asymmetric unit:
1 Cs 0.0000 0.0000 0.0000 [1 per cell]  8 Hg 3.68, 4 Ga 3.88
2 Ga 0.5000 0.5000 0.0000 [1 per cell]  2 Pt 2.45
3 Hg 0.0000 0.5000 0.5000 [2 per cell]  2 Pt 2.75
4 Pt 0.5000 0.5000 0.5000 [1 per cell]  2 Ga 2.45

Crystal system = tetragonal
Energy of formation from the pure elements = -0.311 eV/atom